Entry a
Material: Ba3NaIr2O9
Method: DFT, PBE-GGA
State: relaxed

Calculated values
As for the space group: P-3m1. The density of states at the Fermi level is 10.79 states/eV per cell.

Structure (POSCAR):
```
Ba3NaIr2O9
1.0
5.8606 0.0000 0.0000
-2.9303 5.0754 0.0000
0.0000 0.0000 7.2368
Na O Ir Ba
1 9 2 3
Cartesian
0.0000 0.0000 3.6184 Na
-1.4651 2.5377 0.0000 O
-1.3555 4.1662 2.2522 O
0.0000 1.8184 2.2522 O
1.5748 0.9092 4.9846 O
4.2858 0.9092 4.9846 O
1.3555 4.1662 2.2522 O
2.9303 0.0000 0.0000 O
1.4651 2.5377 0.0000 O
2.9303 3.2570 4.9846 O
0.0000 3.3836 1.1514 Ir
2.9303 1.6918 6.0854 Ir
0.0000 0.0000 0.0000 Ba
0.0000 3.3836 4.7519 Ba
2.9303 1.6918 2.4849 Ba
```

Entry b
Material: Ba3NaIr2O9
Method: DFT, PBE-GGA
State: relaxed

Calculated values
As for the space group: P6_3/mmc. The density of states at the Fermi level is 17.34 states/eV per cell.

Structure (POSCAR):
```
Ba3NaIr2O9
1.0
-2.5019 -3.9956 3.6488
5.8513 1.0897 0.3356
-2.5231 10.5294 9.8004
Ir Ba O Na
4 6 18 2
Cartesian
2.6568 1.1062 3.0331 Ir
-1.3891 4.6758 9.0377 Ir
2.2155 2.9477 4.7471 Ir
-1.8304 6.5173 10.7517 Ir
0.7553 9.0416 10.4191 Ba
0.0711 -1.4181 3.3657 Ba
1.5940 5.5417 7.1615 Ba
-0.6308 2.6324 2.4501 Ba
-0.7676 2.0818 6.6233 Ba
-1.8923 7.8971 7.3503 Ba
0.6178 3.9985 4.8023 O
-2.1455 8.3489 10.2981 O
-0.6026 7.0103 12.1335 O
2.3035 3.1072 2.6954 O
-3.2979 6.5084 11.9789 O
-1.3343 4.9636 7.1472 O
-2.4868 3.1231 8.8280 O
-0.3023 6.3925 9.3761 O
3.3132 4.5005 4.9568 O
-3.0498 5.8808 9.2186 O
2.9719 -0.7254 3.4866 O
2.1607 2.6599 6.6376 O
1.1287 1.2310 4.4087 O
-1.4771 4.5163 11.0894 O
1.4290 0.6132 1.6513 O
3.8762 1.7427 4.5662 O
0.2086 3.6250 8.9825 O
4.1243 1.1151 1.8059 O
-1.2615 5.2647 4.9002 Na
0.0000 0.0000 0.0000 Na
```

Which one sits at the bottom of the stability order? entry a does.

Entry a
Material: BaNb2Ir
Method: DFT, PBE-GGA
State: relaxed

Calculated values
As for the space group: I4_1/amd. The density of states at the Fermi level is 10.34 states/eV per cell.

Structure (POSCAR):
```
BaNb2Ir
1.0
-3.2141 -1.6499 -3.6952
-1.2185 -4.1053 2.8928
-8.9305 1.7687 3.3644
Nb Ir Ba
4 2 2
Cartesian
-5.8061 -3.5670 -0.5837 Nb
-8.0553 0.1952 1.4988 Nb
-9.6627 -0.6308 -0.3480 Nb
-5.1977 -1.5148 -2.0311 Nb
-7.1805 -1.3794 -0.3660 Ir
0.0000 0.0000 0.0000 Ir
-6.1827 -2.6071 2.9280 Ba
-2.2163 -2.8776 -0.4012 Ba
```

Entry b
Material: BaNb2Ir
Method: DFT, PBE-GGA
State: relaxed

Calculated values
As for the space group: Fm-3m. The density of states at the Fermi level is 3.69 states/eV per cell.

Structure (POSCAR):
```
BaNb2Ir
1.0
0.0000 3.3991 3.3991
3.3991 0.0000 3.3991
3.3991 3.3991 0.0000
Ba Nb Ir
1 2 1
Cartesian
0.0000 0.0000 0.0000 Ba
5.0987 5.0987 5.0987 Nb
1.6996 1.6996 1.6996 Nb
3.3991 3.3991 3.3991 Ir
```

Which one sits at the bottom of the stability order? entry a does.

Entry a
Material: BaNi3Ir
Method: DFT, PBE-GGA
State: relaxed

Calculated values
As for the space group: Pm-3m. The density of states at the Fermi level is 5.78 states/eV per cell.

Structure (POSCAR):
```
BaNi3Ir
1.0
4.7272 0.0000 0.0000
0.0000 4.7272 0.0000
0.0000 0.0000 4.7272
Ni Ba Ir
3 1 1
Cartesian
0.0000 2.3636 0.0000 Ni
0.0000 0.0000 2.3636 Ni
2.3636 0.0000 0.0000 Ni
2.3636 2.3636 2.3636 Ba
0.0000 0.0000 0.0000 Ir
```

Entry b
Material: BaNi3Ir
Method: DFT, PBE-GGA
State: relaxed

Calculated values
As for the space group: Pm-3m. The density of states at the Fermi level is 6.92 states/eV per cell.

Structure (POSCAR):
```
BaNi3Ir
1.0
4.7064 0.0000 0.0000
0.0000 4.7064 0.0000
0.0000 0.0000 4.7064
Ni Ba Ir
3 1 1
Cartesian
0.0000 0.0000 2.3532 Ni
0.0000 2.3532 0.0000 Ni
2.3532 0.0000 0.0000 Ni
0.0000 0.0000 0.0000 Ba
2.3532 2.3532 2.3532 Ir
```

Which one sits at the bottom of the stability order? entry b does.

Entry a
Material: BaNiIr
Method: DFT, PBE-GGA
State: relaxed

Calculated values
As for the space group: F-43m. The density of states at the Fermi level is 5.81 states/eV per cell.

Structure (POSCAR):
```
BaNiIr
1.0
4.7381 0.0000 0.0000
2.3691 4.1033 0.0000
2.3691 1.3678 3.8687
Ir Ni Ba
1 1 1
Cartesian
0.0000 0.0000 0.0000 Ir
4.7381 2.7356 1.9343 Ni
7.1072 4.1033 2.9015 Ba
```

Entry b
Material: BaNiIr
Method: DFT, PBE-GGA
State: relaxed

Calculated values
As for the space group: P-6m2. The density of states at the Fermi level is 3.36 states/eV per cell.

Structure (POSCAR):
```
BaNiIr
1.0
4.1563 0.0000 0.0000
-2.0782 3.5995 0.0000
0.0000 0.0000 4.8376
Ni Ir Ba
1 1 1
Cartesian
0.0000 2.3997 2.4188 Ni
2.0782 1.1998 2.4194 Ir
0.0000 0.0000 4.8370 Ba
```

Entry c
Material: BaNiIr
Method: DFT, PBE-GGA
State: relaxed

Calculated values
As for the space group: Fmmm. The density of states at the Fermi level is 9.53 states/eV per cell.

Structure (POSCAR):
```
BaNiIr
1.0
5.6405 0.0000 0.0000
-2.8202 7.7491 -0.0001
0.0000 -0.0001 6.8344
Ba Ir Ni
4 4 4
Cartesian
2.8202 2.3545 6.8343 Ba
0.0000 2.3546 3.4173 Ba
2.8202 5.3945 3.4171 Ba
0.0000 5.3945 0.0000 Ba
4.2303 0.0001 1.7086 Ir
1.4101 0.0001 1.7086 Ir
-1.4101 7.7490 5.1258 Ir
1.4101 7.7490 5.1258 Ir
2.8202 1.1913 3.4173 Ni
0.0000 1.1912 6.8344 Ni
0.0000 6.5578 3.4171 Ni
2.8202 6.5579 0.0000 Ni
```

Which one sits at the bottom of the stability order? entry a does.

Entry a
Material: Ba2NiIr
Method: DFT, PBE-GGA
State: relaxed

Calculated values
As for the space group: P4mm. The density of states at the Fermi level is 6.35 states/eV per cell.

Structure (POSCAR):
```
Ba2NiIr
1.0
-1.4611 0.8847 3.1334
0.8039 -3.2301 1.2868
8.2234 3.2129 2.9273
Ni Ir Ba
1 1 2
Cartesian
5.0614 0.9332 4.1288 Ni
4.8690 1.9023 1.7332 Ir
7.4297 2.9028 2.6448 Ba
2.5414 -0.0514 3.2318 Ba
```

Entry b
Material: Ba2NiIr
Method: DFT, PBE-GGA
State: relaxed

Calculated values
As for the space group: Imm2. The density of states at the Fermi level is 3.56 states/eV per cell.

Structure (POSCAR):
```
Ba2NiIr
1.0
-0.5588 2.5306 -7.9060
1.2958 -1.4433 -8.0907
-3.8300 -1.7156 -1.5456
Ir Ba Ni
1 2 1
Cartesian
-2.0043 -0.5952 -7.3205 Ir
0.6981 1.0632 -15.8704 Ba
-0.7220 -0.1257 -4.5476 Ba
-1.8744 -0.1977 -14.5716 Ni
```

Entry c
Material: Ba2NiIr
Method: DFT, PBE-GGA
State: relaxed

Calculated values
As for the space group: I-42d. The density of states at the Fermi level is 4.24 states/eV per cell.

Structure (POSCAR):
```
Ba2NiIr
1.0
-7.5286 -3.0735 -1.4844
3.3794 -6.2077 -4.2863
-1.8842 -6.4339 -0.1380
Ir Ni Ba
2 2 4
Cartesian
-5.7437 -7.0740 -2.2539 Ir
0.0000 0.0000 0.0000 Ir
-2.0746 -4.6406 -2.8854 Ni
-0.2897 -8.6411 -3.6549 Ni
-4.7595 -4.3076 -1.4991 Ba
-5.0412 -12.9511 -5.1561 Ba
-2.9716 -8.3013 -2.2644 Ba
0.7056 -5.8702 -2.8979 Ba
```

Which one sits at the bottom of the stability order? entry c does.

Entry a
Material: Ba2NiIr
Method: DFT, PBE-GGA
State: relaxed

Calculated values
As for the space group: Amm2. The density of states at the Fermi level is 3.37 states/eV per cell.

Structure (POSCAR):
```
Ba2NiIr
1.0
4.4850 0.0000 0.0000
0.0000 4.8038 0.0056
0.0000 2.3958 5.6522
Ir Ni Ba
1 1 2
Cartesian
0.0000 4.5015 3.1323 Ir
2.2425 4.4972 3.9353 Ni
0.0000 6.9000 5.1602 Ba
2.2425 2.1003 1.9168 Ba
```

Entry b
Material: Ba2NiIr
Method: DFT, PBE-GGA
State: relaxed

Calculated values
As for the space group: P4/mmm. The density of states at the Fermi level is 4.32 states/eV per cell.

Structure (POSCAR):
```
Ba2NiIr
1.0
-5.3751 -0.8319 -0.0906
0.5501 -3.0692 -4.4576
0.4345 -3.0414 2.1478
Ba Ir Ni
2 1 1
Cartesian
-2.4125 -1.9505 -2.2741 Ba
0.0000 0.0000 0.0000 Ba
-2.4703 -1.9367 1.0286 Ir
0.4923 -3.0553 -1.1549 Ni
```

Which one sits at the bottom of the stability order? entry b does.